{
  "formula": "NdZrAg",
  "functional": "PBE-GGA",
  "state": "optimized geometry",
  "final_energy_ev_per_atom": -5.47,
  "e_form_mev_per_atom": -80.5,
  "space_group": "Cmcm",
  "relative_energy_kcal_per_mol_atoms": 0.00,
  "volume_a3_per_atom": 25.29,
  "m_tot_mub_per_fu": 0.0,
  "cell": [[-1.848, 0.015, -2.949], [3.164, -3.760, -2.002], [-4.022, -5.805, 4.545]],
  "species": ["Ag", "Ag", "Nd", "Nd", "Zr", "Zr"],
  "fractional_positions": [[0.407, 0.250, 0.815], [0.593, 0.750, 0.185], [0.914, 0.750, 0.829], [0.086, 0.250, 0.171], [0.764, 0.250, 0.527], [0.236, 0.750, 0.473]]
}

---

{
  "formula": "Nd2ZrAg6",
  "functional": "PBE-GGA",
  "state": "optimized geometry",
  "final_energy_ev_per_atom": -4.05,
  "e_form_mev_per_atom": -139.0,
  "space_group": "P6/mmm",
  "volume_a3_per_atom": 21.71,
  "m_tot_mub_per_fu": 0.0,
  "cell": [[3.155, 0.000, 0.001], [0.001, 7.331, 4.215], [0.000, 0.015, 8.456]],
  "species": ["Nd", "Nd", "Zr", "Ag", "Ag", "Ag", "Ag", "Ag", "Ag"],
  "fractional_positions": [[0.000, 0.333, 0.333], [0.000, 0.667, 0.667], [0.000, 0.000, 0.000], [0.500, 0.672, 0.000], [0.500, 0.000, 0.328], [0.500, 0.328, 0.000], [0.500, 0.672, 0.328], [0.500, 0.000, 0.672], [0.500, 0.328, 0.672]]
}

---

{
  "formula": "NiAg",
  "functional": "PBE-GGA",
  "state": "optimized geometry",
  "final_energy_ev_per_atom": -4.08,
  "e_form_mev_per_atom": 232.5,
  "space_group": "R-3m",
  "volume_a3_per_atom": 14.52,
  "m_tot_mub_per_fu": 0.4,
  "cell": [[-1.308, 8.710, 2.077], [-3.855, 8.089, 1.269], [-3.075, 7.590, 3.852]],
  "species": ["Ag", "Ag", "Ni", "Ni"],
  "fractional_positions": [[0.006, 0.006, 0.006], [0.244, 0.244, 0.244], [0.493, 0.493, 0.493], [0.757, 0.757, 0.757]]
}

---

{
  "formula": "Ni3Ag",
  "functional": "PBE-GGA",
  "state": "optimized geometry",
  "final_energy_ev_per_atom": -4.81,
  "e_form_mev_per_atom": 241.9,
  "space_group": "Pnma",
  "volume_a3_per_atom": 12.68,
  "m_tot_mub_per_fu": 1.6,
  "cell": [[4.580, 0.000, 0.000], [0.000, 8.495, 0.000], [0.000, 0.000, 5.217]],
  "species": ["Ni", "Ni", "Ni", "Ni", "Ni", "Ni", "Ni", "Ni", "Ni", "Ni", "Ni", "Ni", "Ag", "Ag", "Ag", "Ag"],
  "fractional_positions": [[0.923, 0.250, 0.868], [0.273, 0.992, 0.367], [0.273, 0.508, 0.367], [0.227, 0.492, 0.867], [0.227, 0.008, 0.867], [0.577, 0.750, 0.368], [0.423, 0.250, 0.632], [0.773, 0.992, 0.133], [0.773, 0.508, 0.133], [0.727, 0.492, 0.633], [0.727, 0.008, 0.633], [0.077, 0.750, 0.132], [0.065, 0.750, 0.618], [0.435, 0.250, 0.118], [0.565, 0.750, 0.882], [0.935, 0.250, 0.382]]
}

---

{
  "formula": "NiAg8",
  "functional": "PBE-GGA",
  "state": "optimized geometry",
  "final_energy_ev_per_atom": -3.08,
  "e_form_mev_per_atom": 99.6,
  "space_group": "I4/mmm",
  "volume_a3_per_atom": 17.19,
  "m_tot_mub_per_fu": 0.0,
  "cell": [[6.123, 1.219, -1.740], [-4.941, 2.264, 3.530], [1.424, -4.923, 3.967]],
  "species": ["Ni", "Ag", "Ag", "Ag", "Ag", "Ag", "Ag", "Ag", "Ag"],
  "fractional_positions": [[0.000, 0.000, 0.000], [0.328, 0.000, 0.328], [0.672, 0.000, 0.672], [0.000, 0.672, 0.672], [0.338, 0.662, 0.000], [0.662, 0.662, 0.324], [0.000, 0.328, 0.328], [0.338, 0.338, 0.676], [0.662, 0.338, 0.000]]
}

---

{
  "formula": "NiAg",
  "functional": "PBE-GGA",
  "state": "optimized geometry",
  "final_energy_ev_per_atom": -3.74,
  "e_form_mev_per_atom": 576.4,
  "space_group": "P6_3/mmc",
  "volume_a3_per_atom": 16.63,
  "m_tot_mub_per_fu": 0.6,
  "cell": [[-1.127, -2.759, 2.840], [-0.001, -1.031, -3.986], [4.299, -1.387, 0.358]],
  "species": ["Ag", "Ag", "Ni", "Ni"],
  "fractional_positions": [[0.333, 0.667, 0.250], [0.667, 0.333, 0.750], [0.000, 0.000, 0.000], [0.000, 0.000, 0.500]]
}